No. 1
## SrAsO3 (PBE)

Data for crystalline SrAsO3 at its relaxed geometry.

- total DFT energy (no corrections) (eV/atom) = -6.097

a b c (Å): 3.9354 3.9354 3.9354
angles (deg): 90.00 90.00 90.00
Space group Pm-3m (No. 221)
Symmetry-distinct sites (fractional):
Sr: 0.0000 0.0000 0.0000
As: 0.5000 0.5000 0.5000
O: 0.0000 0.5000 0.5000

No. 2
## CaTe2Cl (PBE)

Data for crystalline CaTe2Cl at its relaxed geometry.

- total DFT energy (no corrections) (eV/atom) = -3.203

a b c (Å): 5.3851 5.3851 7.8438
angles (deg): 90.00 90.00 90.00
Space group I-4m2 (No. 119)
Symmetry-distinct sites (fractional):
Ca: 0.0000 0.0000 0.0000
Te: 0.0000 0.0000 0.5000
Te: 0.0000 0.5000 0.2500
Cl: 0.0000 0.5000 0.7500

No. 3
## KRbHfS2 (PBE)

Data for crystalline KRbHfS2 at its relaxed geometry.

- total DFT energy (no corrections) (eV/atom) = -3.076

a b c (Å): 5.6997 5.6997 5.2719
angles (deg): 90.00 90.00 90.00
Space group P4/mmm (No. 123)
Symmetry-distinct sites (fractional):
K: 0.0000 0.0000 0.0000
Rb: 0.5000 0.5000 0.5000
Hf: 0.0000 0.0000 0.5000
S: 0.0000 0.5000 0.0000

No. 4
## ZrAlHg2 (PBE)

Data for crystalline ZrAlHg2 at its relaxed geometry.

- calculated formation energy (eV per atom) = 0.0340

a b c (Å): 3.1577 3.1577 29.5322
angles (deg): 90.00 90.00 120.00
Space group R-3m (No. 166, hexagonal axes)
Symmetry-distinct sites (fractional):
Zr: 0.0000 0.0000 0.0000
Al: 0.0000 0.0000 0.5000
Hg: 0.0000 0.0000 0.2468